Record 1
DFT (PBE) results for crystalline SrTcCl2 at its relaxed geometry.

As for the polymorph energy (0 for the lowest one): 158 meV per atom. The value obtained for the uncorrected formation energy is -0.378 eV/atom.

It has space group Fm-3m (No. 225), with a = 7.018 Å, b = 7.018 Å, c = 7.018 Å, α = 90.00°, β = 90.00° and γ = 90.00°. The inequivalent atoms are Sr at (0.000, 0.000, 0.000), Tc at (0.000, 0.000, 0.500) and Cl at (0.250, 0.250, 0.250).


Record 2
DFT (PBE) results for crystalline BaZn2AsN at its relaxed geometry.

The value obtained for the uncorrected formation energy is -0.371 eV/atom.

It has space group Cmcm (No. 63), with a = 4.122 Å, b = 12.539 Å, c = 7.683 Å, α = 90.00°, β = 90.00° and γ = 90.00°. The inequivalent atoms are Ba at (0.000, 0.053, 0.250), Zn at (0.000, 0.354, 0.071), As at (0.000, 0.226, 0.750) and N at (0.000, 0.500, 0.000).


Record 3
DFT (PBE) results for crystalline ZnRh2Br2 at its relaxed geometry.

As for the polymorph energy (0 for the lowest one): 15 meV per atom. The value obtained for the uncorrected formation energy is 0.304 eV/atom.

It has space group I4/mmm (No. 139), with a = 5.137 Å, b = 5.137 Å, c = 7.731 Å, α = 90.00°, β = 90.00° and γ = 90.00°. The inequivalent atoms are Zn at (0.000, 0.000, 0.000), Rh at (0.000, 0.000, 0.316) and Br at (0.000, 0.500, 0.250).


Record 4
DFT (PBE) results for crystalline BaZrPb at its relaxed geometry.

As for the polymorph energy (0 for the lowest one): 284 meV per atom. The formation energy comes out at 0.053 eV/atom.

It has space group I4mm (No. 107), with a = 4.083 Å, b = 4.083 Å, c = 12.428 Å, α = 90.00°, β = 90.00° and γ = 90.00°. The inequivalent atoms are Ba at (0.000, 0.000, 0.000), Zr at (0.000, 0.000, 0.717) and Pb at (0.000, 0.000, 0.291).


Record 5
DFT (PBE) results for crystalline LiYC2 at its relaxed geometry.

As for the polymorph energy (0 for the lowest one): 0 meV per atom. The formation energy comes out at 0.727 eV/atom.

It has space group I4_1/amd (No. 141, origin choice 2), with a = 3.770 Å, b = 3.770 Å, c = 13.177 Å, α = 90.00°, β = 90.00° and γ = 90.00°. The inequivalent atoms are Li at (0.000, 0.250, 0.375), Y at (0.000, 0.250, 0.875) and C at (0.000, 0.000, 0.500).


Record 6
DFT (PBE) results for crystalline NpNiBr6 at its relaxed geometry.

The value obtained for the uncorrected formation energy is -0.822 eV/atom.

It has space group C2/m (No. 12), with a = 6.651 Å, b = 13.133 Å, c = 6.649 Å, α = 90.00°, β = 109.62° and γ = 90.00°. The inequivalent atoms are Np at (0.000, 0.000, 0.000), Ni at (0.000, 0.500, 0.500), Br at (0.227, 0.360, 0.728) and Br at (0.248, 0.000, 0.751).


Record 7
DFT (PBE) results for crystalline La2SmY3Se6 at its relaxed geometry.

The value obtained for the uncorrected formation energy is -1.856 eV/atom.

It has space group C2/m (No. 12), with a = 18.261 Å, b = 4.142 Å, c = 8.433 Å, α = 90.00°, β = 104.31° and γ = 90.00°. The inequivalent atoms are La at (0.166, 0.000, 0.332), Sm at (0.000, 0.500, 0.000), Y at (0.000, 0.500, 0.500), Y at (0.168, 0.000, 0.833), Se at (0.005, 0.000, 0.747), Se at (0.163, 0.500, 0.593) and Se at (0.168, 0.500, 0.071).


Record 8
DFT (PBE) results for crystalline CdTe2IBr at its relaxed geometry.

As for the polymorph energy (0 for the lowest one): 215 meV per atom. The value obtained for the uncorrected formation energy is 0.617 eV/atom.

It has space group P4/mmm (No. 123), with a = 5.685 Å, b = 5.685 Å, c = 5.833 Å, α = 90.00°, β = 90.00° and γ = 90.00°. The inequivalent atoms are Cd at (0.000, 0.000, 0.000), Te at (0.000, 0.500, 0.500), I at (0.500, 0.500, 0.000) and Br at (0.500, 0.500, 0.500).


Record 9
DFT (PBE) results for crystalline Ca3PmEr2Se6 at its relaxed geometry.

The value obtained for the uncorrected formation energy is -1.868 eV/atom.

It has space group C2/m (No. 12), with a = 7.138 Å, b = 12.346 Å, c = 7.240 Å, α = 90.00°, β = 109.23° and γ = 90.00°. The inequivalent atoms are Ca at (0.000, 0.000, 0.000), Ca at (0.000, 0.336, 0.000), Pm at (0.000, 0.500, 0.500), Er at (0.000, 0.168, 0.500), Se at (0.239, 0.000, 0.745) and Se at (0.247, 0.171, 0.253).


Record 10
DFT (PBE) results for crystalline PrGeMo at its relaxed geometry.

The formation energy comes out at -0.412 eV/atom.

It has space group Pmmn (No. 59, origin choice 2), with a = 3.870 Å, b = 4.147 Å, c = 8.151 Å, α = 90.00°, β = 90.00° and γ = 90.00°. The inequivalent atoms are Pr at (0.250, 0.250, 0.148), Ge at (0.250, 0.250, 0.719) and Mo at (0.250, 0.750, 0.504).


Record 11
DFT (PBE) results for crystalline CsLiHg2Te at its relaxed geometry.

The value obtained for the uncorrected formation energy is -0.531 eV/atom.

It has space group P4/mmm (No. 123), with a = 5.698 Å, b = 5.698 Å, c = 5.440 Å, α = 90.00°, β = 90.00° and γ = 90.00°. The inequivalent atoms are Cs at (0.000, 0.000, 0.000), Li at (0.500, 0.500, 0.500), Hg at (0.000, 0.500, 0.500) and Te at (0.500, 0.500, 0.000).


The evaluated VASP energy for the records listed, in turn: -0.31700; -0.28368; -0.26168; -0.34351; -0.43947; -0.32463; -0.47249; -0.10785; -0.38710; -0.52587; -0.13473 Ry per atom.